The following is a DFT calculation (GGA-PBE) of a relaxed structure of Fe2Pd8Au.

Geometry as POSCAR:
```
Fe2Pd8Au
1.0
-3.1057 2.0962 -1.2732
-2.5794 -0.3522 5.7119
5.4984 4.7535 0.5638
Fe Pd Au
2 8 1
direct
0.7753 0.3497 0.5506
0.2247 0.6503 0.4494
0.3993 0.5354 0.7986
0.6828 0.9140 0.3657
0.8532 0.7933 0.7064
0.9530 0.2753 0.9060
0.1468 0.2067 0.2936
0.3172 0.0860 0.6343
0.6007 0.4646 0.2014
0.0470 0.7247 0.0940
0.5000 0.0000 0.0000
```

Computed properties:
- energy above the most stable polymorph in this dataset (eV/atom) = 0.000
- mass density (g cm⁻³) = 11.54
- energy of formation from the pure elements (kJ/mol of formula units) = -96
- space-group type = C2/m